Record 1
Compound: Er4MgZn2Au
Source: Alexandria
Functional: PBE
Structure: optimized geometry

Cell lengths 5.0819, 5.0819, 24.9455 Å; angles 90.00, 90.00, 120.00 degrees
Space group R-3m (No. 166, hexagonal axes)
Unique sites:
Er  0.0000  0.0000  0.1192 x6
Er  0.0000  0.0000  0.3711 x6
Mg  0.0000  0.0000  0.5000 x3
Zn  0.0000  0.0000  0.2402 x6
Au  0.0000  0.0000  0.0000 x3

Properties
* formation enthalpy at 0 K: -0.417 eV per atom
* D(E_F): 0.63 states/eV/atom
* mass density: 9.117 g cm⁻³
* magnetization: 0.0 μB/f.u.
* volume: 557.93 Å³ per cell



Record 2
Compound: Ac3Ge2SbPd6
Source: Alexandria
Functional: PBE
Structure: optimized geometry

Cell lengths 6.0933, 6.0933, 8.8103 Å; angles 90.00, 90.00, 120.00 degrees
Space group P-3m1 (No. 164)
Unique sites:
Ac  0.0000  0.0000  0.0000 x1
Ac  0.3333  0.6667  0.6528 x2
Ge  0.3333  0.6667  0.0527 x2
Sb  0.0000  0.0000  0.5000 x1
Pd  0.1786  0.3571  0.2803 x6

Properties
* D(E_F): 0.34 states/eV/atom
* mass density: 9.300 g cm⁻³
* formation energy without anion corrections: -0.733 eV per atom
* magnetization: 0.0 μB/f.u.
* volume: 283.29 Å³ per cell